(1)
4
Lattice="3.699 0.000 0.000 0.000 3.699 0.000 0.000 0.000 7.783" Properties=species:S:1:pos:R:3 comment="Eu2PBr PBE-GGA optimized geometry" dft_energy_ev_per_atom=-8.23 e_form_raw_ev_per_fu=-5.27 space_group=P4/mmm pbc="T T T"
Eu 0.000 0.000 6.178
Eu 0.000 0.000 1.605
P 1.850 1.850 0.000
Br 1.850 1.850 3.892

=====

(2)
80
Lattice="15.924 0.000 0.000 -5.308 15.013 0.000 -5.308 -7.507 13.002" Properties=species:S:1:pos:R:3 comment="Eu3Pb5Br12 PBE-GGA optimized geometry" dft_energy_ev_per_atom=-4.41 e_form_raw_ev_per_fu=-18.78 space_group=Ia-3d pbc="T T T"
Eu 9.289 4.692 1.625
Eu 9.289 10.322 1.625
Eu -1.327 6.568 8.126
Eu 1.327 -0.938 4.876
Eu 11.943 0.000 3.250
Eu 1.327 7.507 3.250
Eu 3.981 0.000 9.751
Eu -6.635 7.507 9.751
Eu 3.981 8.445 8.126
Eu 6.635 0.938 4.876
Eu -3.981 -2.815 11.377
Eu -3.981 2.815 11.377
Pb -1.327 3.753 3.250
Pb -2.654 7.507 0.000
Pb 0.000 0.000 0.000
Pb 3.981 2.815 1.625
Pb 5.308 -3.753 6.501
Pb 5.308 7.507 0.000
Pb -3.981 8.445 4.876
Pb 6.635 -4.692 11.377
Pb 6.635 6.568 4.876
Pb 1.327 -3.753 9.751
Pb 3.981 11.260 3.250
Pb 2.654 3.753 6.501
Pb 7.962 0.000 0.000
Pb -2.654 -3.753 6.501
Pb -1.327 0.938 8.126
Pb -1.327 12.198 1.625
Pb -5.308 3.753 6.501
Pb 9.289 -0.938 8.126
Pb 1.327 4.692 11.377
Pb 6.635 3.753 9.751
Br 10.586 1.497 0.790
Br 0.030 5.186 5.599
Br 11.552 3.515 3.531
Br 7.026 2.453 1.692
Br 2.117 5.924 8.681
Br 11.044 7.289 2.180
Br -0.936 8.569 5.223
Br -4.372 12.560 1.692
Br 0.537 9.089 8.681
Br 7.533 7.724 2.180
Br 7.992 3.818 4.809
Br 7.992 13.516 0.790
Br -4.771 6.727 7.291
Br 3.082 5.727 1.278
Br -5.338 11.195 4.809
Br 2.684 -2.321 7.403
Br -0.537 0.803 2.970
Br 3.082 9.503 0.902
Br 7.026 11.498 3.531
Br -0.428 5.510 0.902
Br -3.191 8.309 10.032
Br 3.590 6.445 5.223
Br 7.425 8.286 7.291
Br 5.736 -1.779 11.723
Br 1.718 1.062 7.779
Br -2.117 -0.780 5.711
Br -0.428 9.286 1.278
Br -1.718 -3.992 9.471
Br 8.499 -0.803 2.970
Br 5.736 1.997 12.100
Br 2.225 -1.997 12.100
Br 2.624 9.827 5.599
Br 5.845 6.704 10.032
Br 10.645 -3.689 8.192
Br 10.079 0.780 5.711
Br -2.684 -6.009 12.212
Br 2.225 1.779 11.723
Br 4.771 -1.583 4.321
Br -2.225 -0.217 10.822
Br -2.684 3.689 8.192
Br 9.680 -5.054 11.310
Br 6.244 -1.062 7.779
Br -1.718 5.054 11.310
Br -5.736 0.217 10.822
Br 3.191 1.583 4.321
Br -6.244 3.992 9.471
Br 5.278 2.321 7.403
Br -5.278 6.009 12.212

=====

(3)
4
Lattice="4.407 0.000 0.000 2.203 3.817 0.000 2.203 1.272 8.064" Properties=species:S:1:pos:R:3 comment="Eu2PbBr PBE-GGA optimized geometry" dft_energy_ev_per_atom=-7.46 e_form_raw_ev_per_fu=-3.92 space_group=R-3m pbc="T T T"
Pb 0.000 0.000 0.000
Eu 6.610 3.817 6.002
Eu 2.203 1.272 2.062
Br 4.407 2.544 4.032

=====

(4)
4
Lattice="3.794 0.000 0.000 0.000 3.794 0.000 0.000 0.000 8.641" Properties=species:S:1:pos:R:3 comment="Eu2PbBr PBE-GGA optimized geometry" dft_energy_ev_per_atom=-7.45 e_form_raw_ev_per_fu=-3.85 space_group=P4/mmm pbc="T T T"
Pb 1.897 1.897 4.321
Eu 0.000 0.000 6.441
Eu 0.000 0.000 2.201
Br 1.897 1.897 0.000

=====

(5)
4
Lattice="4.244 0.000 0.000 2.122 3.676 0.000 2.122 1.225 7.814" Properties=species:S:1:pos:R:3 comment="Eu2PdBr PBE-GGA optimized geometry" dft_energy_ev_per_atom=-7.94 e_form_raw_ev_per_fu=-4.34 space_group=R-3m pbc="T T T"
Eu 6.367 3.676 6.134
Eu 2.122 1.225 1.679
Br 4.244 2.450 3.907
Pd 0.000 0.000 0.000

=====

(6)
4
Lattice="-2.364 -2.801 0.024 0.681 -0.544 3.561 -5.962 5.048 1.910" Properties=species:S:1:pos:R:3 comment="Eu2PdBr PBE-GGA optimized geometry" dft_energy_ev_per_atom=-7.89 e_form_raw_ev_per_fu=-4.15 space_group=P4/mmm pbc="T T T"
Eu -4.644 3.932 1.488
Eu -1.317 1.115 0.422
Br -3.823 0.851 2.748
Pd -0.842 -1.673 1.792

=====

What did the fifth record say?
4
Lattice="4.244 0.000 0.000 2.122 3.676 0.000 2.122 1.225 7.814" Properties=species:S:1:pos:R:3 comment="Eu2PdBr PBE-GGA optimized geometry" dft_energy_ev_per_atom=-7.94 e_form_raw_ev_per_fu=-4.34 space_group=R-3m pbc="T T T"
Eu 6.367 3.676 6.134
Eu 2.122 1.225 1.679
Br 4.244 2.450 3.907
Pd 0.000 0.000 0.000

=====

Question: Number 5 is which compound?
Answer: Eu2PdBr